(1)
First-principles (PBE-GGA) data for crystalline LiCe3Nd4Te8 at its relaxed geometry, as listed in the Alexandria database.

Summary:
The calculation puts the uncorrected formation energy at -1.381 eV per atom.

Cell and atoms, written as CIF:
```
data_LiCe3Nd4Te8
_chemical_formula_sum 'Li3 Ce9 Nd12 Te24'
_symmetry_space_group_name_H-M 'R -3 m'
_symmetry_Int_Tables_number 166
_symmetry_space_group_name_Hall '-R 3 2"'
_cell_length_a 8.9463
_cell_length_b 8.9463
_cell_length_c 22.0053
_cell_angle_alpha 90.00
_cell_angle_beta 90.00
_cell_angle_gamma 120.00
loop_
_atom_site_label
_atom_site_fract_x
_atom_site_fract_y
_atom_site_fract_z
Li1 0.0000 0.0000 0.0000
Ce1 0.0000 0.5000 0.0000
Nd1 0.0000 0.0000 0.5000
Nd2 0.0000 0.5000 0.5000
Te1 0.0000 0.0000 0.2502
Te2 0.0088 0.5044 0.7477
```

(2)
First-principles (PBE-GGA) data for crystalline LiCe2NdTe4 at its relaxed geometry, as listed in the Alexandria database.

Summary:
The calculation puts the uncorrected formation energy at -1.326 eV per atom.

Cell and atoms, written as CIF:
```
data_LiCe2NdTe4
_chemical_formula_sum 'Li1 Ce2 Nd1 Te4'
_symmetry_space_group_name_H-M 'P 1 2/m 1'
_symmetry_Int_Tables_number 10
_symmetry_space_group_name_Hall '-P 2y'
_cell_length_a 7.7333
_cell_length_b 4.4567
_cell_length_c 7.7443
_cell_angle_alpha 90.00
_cell_angle_beta 109.50
_cell_angle_gamma 90.00
loop_
_atom_site_label
_atom_site_fract_x
_atom_site_fract_y
_atom_site_fract_z
Li1 0.0000 0.0000 0.0000
Ce1 0.0000 0.5000 0.5000
Ce2 0.5000 0.0000 0.5000
Nd1 0.5000 0.5000 0.0000
Te1 0.2385 0.5000 0.2384
Te2 0.2431 0.0000 0.7564
```

(3)
First-principles (PBE-GGA) data for crystalline LiCe4Nd3Te8 at its relaxed geometry, as listed in the Alexandria database.

Summary:
The calculation puts the uncorrected formation energy at -1.366 eV per atom.

Cell and atoms, written as CIF:
```
data_LiCe4Nd3Te8
_chemical_formula_sum 'Li3 Ce12 Nd9 Te24'
_symmetry_space_group_name_H-M 'R -3 m'
_symmetry_Int_Tables_number 166
_symmetry_space_group_name_Hall '-R 3 2"'
_cell_length_a 8.9344
_cell_length_b 8.9344
_cell_length_c 22.0940
_cell_angle_alpha 90.00
_cell_angle_beta 90.00
_cell_angle_gamma 120.00
loop_
_atom_site_label
_atom_site_fract_x
_atom_site_fract_y
_atom_site_fract_z
Li1 0.0000 0.0000 0.0000
Ce1 0.0000 0.0000 0.5000
Ce2 0.0000 0.5000 0.5000
Nd1 0.0000 0.5000 0.0000
Te1 0.0000 0.0000 0.2498
Te2 0.0095 0.5047 0.7477
```

(4)
First-principles (PBE-GGA) data for crystalline Li3CeNd2Te6 at its relaxed geometry, as listed in the Alexandria database.

Summary:
The calculation puts the uncorrected formation energy at -1.271 eV per atom.

Cell and atoms, written as CIF:
```
data_Li3CeNd2Te6
_chemical_formula_sum 'Li6 Ce2 Nd4 Te12'
_symmetry_space_group_name_H-M 'C 1 2/m 1'
_symmetry_Int_Tables_number 12
_symmetry_space_group_name_Hall '-C 2y'
_cell_length_a 7.7352
_cell_length_b 13.3985
_cell_length_c 7.5434
_cell_angle_alpha 90.00
_cell_angle_beta 109.98
_cell_angle_gamma 90.00
loop_
_atom_site_label
_atom_site_fract_x
_atom_site_fract_y
_atom_site_fract_z
Li1 0.0000 0.0000 0.0000
Li2 0.0000 0.3319 0.0000
Ce1 0.0000 0.5000 0.5000
Nd1 0.0000 0.1665 0.5000
Te1 0.2458 0.1668 0.2377
Te2 0.2459 0.5000 0.2377
```

(5)
First-principles (PBE-GGA) data for crystalline LiCe3Nd2Te6 at its relaxed geometry, as listed in the Alexandria database.

Summary:
The calculation puts the uncorrected formation energy at -1.355 eV per atom.

Cell and atoms, written as CIF:
```
data_LiCe3Nd2Te6
_chemical_formula_sum 'Li2 Ce6 Nd4 Te12'
_symmetry_space_group_name_H-M 'C 1 2/m 1'
_symmetry_Int_Tables_number 12
_symmetry_space_group_name_Hall '-C 2y'
_cell_length_a 19.5201
_cell_length_b 4.4623
_cell_length_c 8.9600
_cell_angle_alpha 90.00
_cell_angle_beta 103.44
_cell_angle_gamma 90.00
loop_
_atom_site_label
_atom_site_fract_x
_atom_site_fract_y
_atom_site_fract_z
Li1 0.0000 0.0000 0.0000
Ce1 0.0000 0.0000 0.5000
Ce2 0.1686 0.5000 0.8352
Nd1 0.1681 0.5000 0.3381
Te1 0.9997 0.5000 0.2390
Te2 0.1607 0.0000 0.0817
Te3 0.1657 0.0000 0.5857
```

(6)
First-principles (PBE-GGA) data for crystalline LiCeNd2Tl4 at its relaxed geometry, as listed in the Alexandria database.

Summary:
The energy relative to the elements comes out at -0.306 eV per atom.

Cell and atoms, written as CIF:
```
data_LiCeNd2Tl4
_chemical_formula_sum 'Li3 Ce3 Nd6 Tl12'
_symmetry_space_group_name_H-M 'R -3 m'
_symmetry_Int_Tables_number 166
_symmetry_space_group_name_Hall '-R 3 2"'
_cell_length_a 5.3466
_cell_length_b 5.3466
_cell_length_c 27.5513
_cell_angle_alpha 90.00
_cell_angle_beta 90.00
_cell_angle_gamma 120.00
loop_
_atom_site_label
_atom_site_fract_x
_atom_site_fract_y
_atom_site_fract_z
Li1 0.0000 0.0000 0.0000
Ce1 0.0000 0.0000 0.5000
Nd1 0.0000 0.0000 0.2567
Tl1 0.0000 0.0000 0.1239
Tl2 0.0000 0.0000 0.3733
```

(7)
First-principles (PBE-GGA) data for crystalline Li2Ce2NdTl2 at its relaxed geometry, as listed in the Alexandria database.

Summary:
The energy relative to the elements comes out at -0.188 eV per atom.

Cell and atoms, written as CIF:
```
data_Li2Ce2NdTl2
_chemical_formula_sum 'Li6 Ce6 Nd3 Tl6'
_symmetry_space_group_name_H-M 'R -3 m'
_symmetry_Int_Tables_number 166
_symmetry_space_group_name_Hall '-R 3 2"'
_cell_length_a 4.6563
_cell_length_b 4.6563
_cell_length_c 27.9633
_cell_angle_alpha 90.00
_cell_angle_beta 90.00
_cell_angle_gamma 120.00
loop_
_atom_site_label
_atom_site_fract_x
_atom_site_fract_y
_atom_site_fract_z
Li1 0.0000 0.0000 0.0845
Ce1 0.0000 0.0000 0.3551
Nd1 0.0000 0.0000 0.5000
Tl1 0.0000 0.0000 0.2366
```

(8)
First-principles (PBE-GGA) data for crystalline LiCeNdY at its relaxed geometry, as listed in the Alexandria database.

Summary:
The energy relative to the elements comes out at 0.287 eV per atom.

Cell and atoms, written as CIF:
```
data_LiCeNdY
_chemical_formula_sum 'Li4 Ce4 Nd4 Y4'
_symmetry_space_group_name_H-M 'F -4 3 m'
_symmetry_Int_Tables_number 216
_symmetry_space_group_name_Hall 'F -4 2 3'
_cell_length_a 7.7613
_cell_length_b 7.7613
_cell_length_c 7.7613
_cell_angle_alpha 90.00
_cell_angle_beta 90.00
_cell_angle_gamma 90.00
loop_
_atom_site_label
_atom_site_fract_x
_atom_site_fract_y
_atom_site_fract_z
Li1 0.0000 0.0000 0.0000
Ce1 0.0000 0.0000 0.5000
Nd1 0.2500 0.2500 0.2500
Y1 0.2500 0.2500 0.7500
```

(9)
First-principles (PBE-GGA) data for crystalline LiCeNdZn at its relaxed geometry, as listed in the Alexandria database.

Summary:
The energy relative to the elements comes out at -0.010 eV per atom.

Cell and atoms, written as CIF:
```
data_LiCeNdZn
_chemical_formula_sum 'Li4 Ce4 Nd4 Zn4'
_symmetry_space_group_name_H-M 'F -4 3 m'
_symmetry_Int_Tables_number 216
_symmetry_space_group_name_Hall 'F -4 2 3'
_cell_length_a 7.3839
_cell_length_b 7.3839
_cell_length_c 7.3839
_cell_angle_alpha 90.00
_cell_angle_beta 90.00
_cell_angle_gamma 90.00
loop_
_atom_site_label
_atom_site_fract_x
_atom_site_fract_y
_atom_site_fract_z
Li1 0.0000 0.0000 0.0000
Ce1 0.2500 0.2500 0.2500
Nd1 0.2500 0.2500 0.7500
Zn1 0.0000 0.0000 0.5000
```

(10)
First-principles (PBE-GGA) data for crystalline LiCeNi at its relaxed geometry, as listed in the Alexandria database.

Summary:
The energy relative to the elements comes out at -0.005 eV per atom. The value obtained for the relative energy among the computed polymorphs is 124 meV per atom.

Cell and atoms, written as CIF:
```
data_LiCeNi
_chemical_formula_sum 'Li2 Ce2 Ni2'
_symmetry_space_group_name_H-M 'I 4 m m'
_symmetry_Int_Tables_number 107
_symmetry_space_group_name_Hall 'I 4 -2'
_cell_length_a 3.2143
_cell_length_b 3.2143
_cell_length_c 11.0023
_cell_angle_alpha 90.00
_cell_angle_beta 90.00
_cell_angle_gamma 90.00
loop_
_atom_site_label
_atom_site_fract_x
_atom_site_fract_y
_atom_site_fract_z
Li1 0.0000 0.0000 0.0000
Ce1 0.0000 0.0000 0.2717
Ni1 0.0000 0.0000 0.6246
```

(11)
First-principles (PBE-GGA) data for crystalline Li2Ce2Ni15 at its relaxed geometry, as listed in the Alexandria database.

Summary:
The energy relative to the elements comes out at -0.231 eV per atom.

Cell and atoms, written as CIF:
```
data_Li2Ce2Ni15
_chemical_formula_sum 'Li6 Ce6 Ni45'
_symmetry_space_group_name_H-M 'R -3 m'
_symmetry_Int_Tables_number 166
_symmetry_space_group_name_Hall '-R 3 2"'
_cell_length_a 8.3326
_cell_length_b 8.3326
_cell_length_c 12.1633
_cell_angle_alpha 90.00
_cell_angle_beta 90.00
_cell_angle_gamma 120.00
loop_
_atom_site_label
_atom_site_fract_x
_atom_site_fract_y
_atom_site_fract_z
Li1 0.0000 0.0000 0.0915
Ce1 0.0000 0.0000 0.3420
Ni1 0.0000 0.3097 0.0000
Ni2 0.0000 0.5000 0.5000
Ni3 0.0007 0.5003 0.1588
```

(12)
First-principles (PBE-GGA) data for crystalline LiCeNi2 at its relaxed geometry, as listed in the Alexandria database.

Summary:
The energy relative to the elements comes out at -0.113 eV per atom.

Cell and atoms, written as CIF:
```
data_LiCeNi2
_chemical_formula_sum 'Li1 Ce1 Ni2'
_symmetry_space_group_name_H-M 'P 4/m m m'
_symmetry_Int_Tables_number 123
_symmetry_space_group_name_Hall '-P 4 2'
_cell_length_a 3.2285
_cell_length_b 3.2285
_cell_length_c 6.0146
_cell_angle_alpha 90.00
_cell_angle_beta 90.00
_cell_angle_gamma 90.00
loop_
_atom_site_label
_atom_site_fract_x
_atom_site_fract_y
_atom_site_fract_z
Li1 0.0000 0.0000 0.0000
Ce1 0.0000 0.0000 0.5000
Ni1 0.5000 0.5000 0.2092
```

(13)
First-principles (PBE-GGA) data for crystalline LiCeNi2 at its relaxed geometry, as listed in the Alexandria database.

Summary:
The energy relative to the elements comes out at -0.146 eV per atom.

Cell and atoms, written as CIF:
```
data_LiCeNi2
_chemical_formula_sum 'Li3 Ce3 Ni6'
_symmetry_space_group_name_H-M 'R -3 m'
_symmetry_Int_Tables_number 166
_symmetry_space_group_name_Hall '-R 3 2"'
_cell_length_a 4.1643
_cell_length_b 4.1643
_cell_length_c 13.1906
_cell_angle_alpha 90.00
_cell_angle_beta 90.00
_cell_angle_gamma 120.00
loop_
_atom_site_label
_atom_site_fract_x
_atom_site_fract_y
_atom_site_fract_z
Li1 0.0000 0.0000 0.0000
Ce1 0.0000 0.0000 0.5000
Ni1 0.0000 0.0000 0.2914
```

(14)
First-principles (PBE-GGA) data for crystalline Li2CeNi at its relaxed geometry, as listed in the Alexandria database.

Summary:
The energy relative to the elements comes out at 0.204 eV per atom.

Cell and atoms, written as CIF:
```
data_Li2CeNi
_chemical_formula_sum 'Li6 Ce3 Ni3'
_symmetry_space_group_name_H-M 'R -3 m'
_symmetry_Int_Tables_number 166
_symmetry_space_group_name_Hall '-R 3 2"'
_cell_length_a 2.8130
_cell_length_b 2.8130
_cell_length_c 30.6061
_cell_angle_alpha 90.00
_cell_angle_beta 90.00
_cell_angle_gamma 120.00
loop_
_atom_site_label
_atom_site_fract_x
_atom_site_fract_y
_atom_site_fract_z
Li1 0.0000 0.0000 0.1021
Ce1 0.0000 0.0000 0.0000
Ni1 0.0000 0.0000 0.5000
```

(15)
First-principles (PBE-GGA) data for crystalline LiCe2Ni at its relaxed geometry, as listed in the Alexandria database.

Summary:
The energy relative to the elements comes out at -0.021 eV per atom. The value obtained for the relative energy among the computed polymorphs is 0 meV per atom.

Cell and atoms, written as CIF:
```
data_LiCe2Ni
_chemical_formula_sum 'Li1 Ce2 Ni1'
_symmetry_space_group_name_H-M 'P 4/m m m'
_symmetry_Int_Tables_number 123
_symmetry_space_group_name_Hall '-P 4 2'
_cell_length_a 3.5735
_cell_length_b 3.5735
_cell_length_c 7.0550
_cell_angle_alpha 90.00
_cell_angle_beta 90.00
_cell_angle_gamma 90.00
loop_
_atom_site_label
_atom_site_fract_x
_atom_site_fract_y
_atom_site_fract_z
Li1 0.0000 0.0000 0.0000
Ce1 0.5000 0.5000 0.2987
Ni1 0.0000 0.0000 0.5000
```

(16)
First-principles (PBE-GGA) data for crystalline LiCeNi2 at its relaxed geometry, as listed in the Alexandria database.

Summary:
The energy relative to the elements comes out at -0.086 eV per atom.

Cell and atoms, written as CIF:
```
data_LiCeNi2
_chemical_formula_sum 'Li1 Ce1 Ni2'
_symmetry_space_group_name_H-M 'P 4/m m m'
_symmetry_Int_Tables_number 123
_symmetry_space_group_name_Hall '-P 4 2'
_cell_length_a 4.3695
_cell_length_b 4.3695
_cell_length_c 3.3780
_cell_angle_alpha 90.00
_cell_angle_beta 90.00
_cell_angle_gamma 90.00
loop_
_atom_site_label
_atom_site_fract_x
_atom_site_fract_y
_atom_site_fract_z
Li1 0.0000 0.0000 0.0000
Ce1 0.5000 0.5000 0.0000
Ni1 0.0000 0.5000 0.5000
```

(17)
First-principles (PBE-GGA) data for crystalline LiCeNi at its relaxed geometry, as listed in the Alexandria database.

Summary:
The energy relative to the elements comes out at -0.129 eV per atom. The value obtained for the relative energy among the computed polymorphs is 0 meV per atom.

Cell and atoms, written as CIF:
```
data_LiCeNi
_chemical_formula_sum 'Li6 Ce6 Ni6'
_symmetry_space_group_name_H-M 'P 1 21/m 1'
_symmetry_Int_Tables_number 11
_symmetry_space_group_name_Hall '-P 2yb'
_cell_length_a 7.2247
_cell_length_b 3.7347
_cell_length_c 12.4013
_cell_angle_alpha 90.00
_cell_angle_beta 91.11
_cell_angle_gamma 90.00
loop_
_atom_site_label
_atom_site_fract_x
_atom_site_fract_y
_atom_site_fract_z
Li1 0.0156 0.2500 0.0791
Li2 0.1250 0.7500 0.5357
Li3 0.3769 0.2500 0.1976
Ce1 0.0552 0.7500 0.2870
Ce2 0.3305 0.2500 0.9181
Ce3 0.4509 0.2500 0.6251
Ni1 0.2377 0.7500 0.7522
Ni2 0.2642 0.2500 0.4083
Ni3 0.2682 0.7500 0.0728
```

(18)
First-principles (PBE-GGA) data for crystalline LiCeNi17 at its relaxed geometry, as listed in the Alexandria database.

Summary:
The energy relative to the elements comes out at -0.046 eV per atom.

Cell and atoms, written as CIF:
```
data_LiCeNi17
_chemical_formula_sum 'Li3 Ce3 Ni51'
_symmetry_space_group_name_H-M 'R 3 m'
_symmetry_Int_Tables_number 160
_symmetry_space_group_name_Hall 'R 3 -2"'
_cell_length_a 8.2304
_cell_length_b 8.2304
_cell_length_c 12.0444
_cell_angle_alpha 90.00
_cell_angle_beta 90.00
_cell_angle_gamma 120.00
loop_
_atom_site_label
_atom_site_fract_x
_atom_site_fract_y
_atom_site_fract_z
Li1 0.0000 0.0000 0.0000
Ce1 0.0000 0.0000 0.3200
Ni1 0.0000 0.0000 0.5646
Ni2 0.0000 0.0000 0.7634
Ni3 0.0009 0.2966 0.6632
Ni4 0.0007 0.5004 0.1634
Ni5 0.0034 0.5017 0.8160
Ni6 0.0042 0.5021 0.5102
```

In μB per formula unit, the spin magnetization values for the records above are, in order, 3.6, 2.5, 5.2, 1.0, 3.4, 1.0, 1.3, 2.7, 0.8, 0.6, 3.4, 0.0, 0.0, 0.3, 1.1, 0.0, 0.5, 7.9.
In eV per atom, the total DFT energy (no corrections) values for the records above are, in order, -5.38, -5.22, -5.43, -4.61, -5.36, -3.66, -3.79, -4.48, -3.48, -4.55, -5.62, -4.97, -5.00, -3.68, -4.91, -4.94, -4.67, -5.63.